1.
Computed, not measured: crystalline Tb12Ir3C5 at its relaxed geometry at the PBE level of DFT.

Summary:
density	9.17	g cm⁻³
ΔH_f (0 K)	-0.289	eV/atom
DOS at the Fermi energy	0.54	states/eV/atom
total magnetization	0.000	μB per formula unit

abc: 13.377 13.377 13.377
angles: 109.47 109.47 109.47
Element x y z (fractional)
C 0.125 0.375 0.250
C 0.000 0.500 0.000
C 0.000 0.000 0.000
C 0.375 0.250 0.125
C 0.500 0.000 0.500
C 0.500 0.500 0.000
C 0.125 0.750 0.375
C 0.750 0.125 0.875
C 0.750 0.625 0.375
C 0.375 0.125 0.750
C 0.625 0.875 0.250
C 0.500 0.500 0.500
C 0.500 0.000 0.000
C 0.000 0.000 0.500
C 0.250 0.375 0.625
C 0.250 0.875 0.125
C 0.000 0.500 0.500
C 0.875 0.250 0.625
C 0.625 0.750 0.875
C 0.875 0.625 0.750
Ir 0.750 0.375 0.125
Ir 0.875 0.750 0.125
Ir 0.375 0.750 0.625
Ir 0.250 0.125 0.375
Ir 0.875 0.125 0.250
Ir 0.375 0.625 0.250
Ir 0.625 0.375 0.750
Ir 0.125 0.875 0.750
Ir 0.750 0.875 0.625
Ir 0.625 0.250 0.375
Ir 0.125 0.250 0.875
Ir 0.250 0.625 0.875
Tb 0.708 0.125 0.029
Tb 0.321 0.529 0.405
Tb 0.971 0.375 0.292
Tb 0.529 0.208 0.125
Tb 0.583 0.708 0.679
Tb 0.971 0.595 0.179
Tb 0.321 0.792 0.417
Tb 0.095 0.917 0.125
Tb 0.595 0.971 0.679
Tb 0.708 0.583 0.179
Tb 0.792 0.471 0.375
Tb 0.821 0.905 0.029
Tb 0.125 0.708 0.529
Tb 0.375 0.405 0.083
Tb 0.083 0.905 0.375
Tb 0.417 0.125 0.595
Tb 0.083 0.179 0.208
Tb 0.471 0.679 0.095
Tb 0.821 0.917 0.292
Tb 0.125 0.417 0.095
Tb 0.375 0.971 0.792
Tb 0.595 0.625 0.417
Tb 0.905 0.821 0.529
Tb 0.792 0.321 0.917
Tb 0.405 0.375 0.583
Tb 0.095 0.179 0.471
Tb 0.208 0.679 0.083
Tb 0.179 0.083 0.708
Tb 0.625 0.029 0.208
Tb 0.875 0.583 0.905
Tb 0.529 0.321 0.905
Tb 0.583 0.875 0.405
Tb 0.917 0.821 0.792
Tb 0.917 0.095 0.625
Tb 0.875 0.292 0.471
Tb 0.179 0.095 0.971
Tb 0.625 0.595 0.917
Tb 0.405 0.029 0.321
Tb 0.292 0.417 0.821
Tb 0.208 0.529 0.625
Tb 0.905 0.083 0.875
Tb 0.679 0.208 0.583
Tb 0.471 0.792 0.875
Tb 0.029 0.405 0.821
Tb 0.417 0.292 0.321
Tb 0.029 0.625 0.708
Tb 0.679 0.471 0.595
Tb 0.292 0.875 0.971



2.
Computed, not measured: crystalline Ba3HoPd2O6 at its relaxed geometry at the PBE level of DFT.

Summary:
density	6.58	g cm⁻³
formation energy (no corrections)	-1.8332	eV per atom
DOS at the Fermi energy	0.65	states/eV/atom
total magnetization	0.000	μB per formula unit

abc: 6.124 6.124 6.879
angles: 90.00 90.00 120.00
Element x y z (fractional)
Ba 0.333 0.667 0.639
Ba 0.667 0.333 0.361
Ba 0.000 0.000 0.000
Ho 0.000 0.000 0.500
Pd 0.667 0.333 0.854
Pd 0.333 0.667 0.146
O 0.667 0.833 0.309
O 0.167 0.333 0.309
O 0.167 0.833 0.309
O 0.833 0.667 0.691
O 0.333 0.167 0.691
O 0.833 0.167 0.691



3.
Computed, not measured: crystalline Y6TlSe5 at its relaxed geometry at the PBE level of DFT.

Summary:
density	6.21	g cm⁻³
formation energy (no corrections)	-1.5353	eV per atom
DOS at the Fermi energy	0.50	states/eV/atom
total magnetization	0.000	μB per formula unit

abc: 7.181 7.199 7.178
angles: 59.91 80.47 70.72
Element x y z (fractional)
Y 0.747 0.084 0.339
Y 0.253 0.577 0.339
Y 0.251 0.255 0.000
Y 0.749 0.745 0.000
Y 0.747 0.423 0.661
Y 0.253 0.916 0.661
Tl 0.000 0.000 0.000
Se 0.500 0.165 0.670
Se 0.000 0.333 0.334
Se 0.500 0.500 0.000
Se 0.000 0.667 0.666
Se 0.500 0.835 0.330



4.
Computed, not measured: crystalline Ti2V3N2 at its relaxed geometry at the PBE level of DFT.

Summary:
density	5.82	g cm⁻³
formation energy (no corrections)	-0.6735	eV per atom
DOS at the Fermi energy	0.80	states/eV/atom
total magnetization	0.000	μB per formula unit

abc: 2.903 4.534 7.132
angles: 115.92 90.00 108.67
Element x y z (fractional)
Ti 0.835 0.670 0.213
Ti 0.165 0.330 0.787
V 0.500 0.000 0.000
V 0.624 0.248 0.436
V 0.376 0.752 0.564
N 0.864 0.729 0.756
N 0.136 0.271 0.244



5.
Computed, not measured: crystalline CrPtSe2 at its relaxed geometry at the PBE level of DFT.

Summary:
density	10.70	g cm⁻³
formation energy (no corrections)	0.1759	eV per atom
DOS at the Fermi energy	0.61	states/eV/atom
total magnetization	0.518	μB per formula unit

abc: 3.100 3.100 6.542
angles: 90.00 90.00 90.00
Element x y z (fractional)
Cr 0.500 0.500 0.250
Pt 0.500 0.500 0.750
Se 0.000 0.000 0.029
Se 0.000 0.000 0.471



6.
Computed, not measured: crystalline MgAg3 at its relaxed geometry at the PBE level of DFT.

Summary:
density	7.96	g cm⁻³
ΔH_f (0 K)	-0.116	eV/atom
DOS at the Fermi energy	0.20	states/eV/atom
total magnetization	0.000	μB per formula unit

abc: 5.640 5.539 5.532
angles: 147.54 127.78 62.88
Element x y z (fractional)
Mg 0.647 0.002 0.649
Ag 0.767 0.748 0.017
Ag 0.268 0.249 0.016
Ag 0.150 0.501 0.652



7.
Computed, not measured: crystalline Lu2CdAs at its relaxed geometry at the PBE level of DFT.

Summary:
density	8.72	g cm⁻³
ΔH_f (0 K)	-0.748	eV/atom
DOS at the Fermi energy	0.48	states/eV/atom
total magnetization	0.000	μB per formula unit

abc: 3.854 3.854 8.255
angles: 76.50 76.50 60.00
Element x y z (fractional)
As 0.000 0.000 0.000
Lu 0.263 0.263 0.210
Lu 0.737 0.737 0.790
Cd 0.500 0.500 0.500



8.
Computed, not measured: crystalline Ba2Al3Zn4Hg at its relaxed geometry at the PBE level of DFT.

Summary:
density	5.73	g cm⁻³
ΔH_f (0 K)	-0.208	eV/atom
DOS at the Fermi energy	0.69	states/eV/atom
total magnetization	0.000	μB per formula unit

abc: 4.687 4.687 10.788
angles: 90.00 90.00 90.00
Element x y z (fractional)
Ba 0.500 0.000 0.244
Ba 0.000 0.500 0.756
Al 0.000 0.000 0.500
Al 0.500 0.000 0.880
Al 0.000 0.500 0.120
Zn 0.500 0.500 0.000
Zn 0.000 0.000 0.000
Zn 0.500 0.000 0.635
Zn 0.000 0.500 0.365
Hg 0.500 0.500 0.500